Here is TbNd after structural relaxation from the Alexandria database. Energies are from GGA-PBEsol.

V ... 31.682 A^3/atom
E_tot ... -5.056 eV per atom
Calculated formation energy ... 32.3 meV per atom

Cell: 3.5767 3.5767 5.7194 Å, 90.00 90.00 120.00°
Positions (direct):
Tb 0.0000 0.0000 0.0000
Nd 0.6667 0.3333 0.5000

***

Here is Nd2Te3 after structural relaxation from the Alexandria database. Energies are from GGA-PBEsol.

V ... 31.303 A^3/atom
E_tot ... -5.654 eV per atom

Cell: 12.2004 4.3681 11.7478 Å, 90.00 90.00 90.00°
Positions (direct):
Nd 0.0174 0.2500 0.1870
Nd 0.1972 0.2500 0.4962
Nd 0.3028 0.7500 0.9962
Nd 0.4826 0.7500 0.6870
Nd 0.5174 0.2500 0.3130
Nd 0.6972 0.2500 0.0038
Nd 0.8028 0.7500 0.5038
Nd 0.9826 0.7500 0.8130
Te 0.0415 0.7500 0.3782
Te 0.1204 0.2500 0.9411
Te 0.2254 0.7500 0.7001
Te 0.2746 0.2500 0.2001
Te 0.3796 0.7500 0.4411
Te 0.4585 0.2500 0.8782
Te 0.5415 0.7500 0.1218
Te 0.6204 0.2500 0.5589
Te 0.7254 0.7500 0.7999
Te 0.7746 0.2500 0.2999
Te 0.8796 0.7500 0.0589
Te 0.9585 0.2500 0.6218

***

Here is Nd3Te4 after structural relaxation from the Alexandria database. Energies are from GGA-PBEsol.

V ... 29.467 A^3/atom
E_tot ... -5.693 eV per atom

Cell: 8.1226 8.1226 8.1226 Å, 109.47 109.47 109.47°
Positions (direct):
Nd 0.1250 0.8750 0.2500
Nd 0.2500 0.1250 0.8750
Nd 0.3750 0.6250 0.7500
Nd 0.6250 0.7500 0.3750
Nd 0.7500 0.3750 0.6250
Nd 0.8750 0.2500 0.1250
Te 0.0000 0.1529 0.5000
Te 0.0000 0.6529 0.5000
Te 0.1529 0.5000 0.0000
Te 0.3471 0.3471 0.3471
Te 0.5000 0.0000 0.1529
Te 0.5000 0.0000 0.6529
Te 0.6529 0.5000 0.0000
Te 0.8471 0.8471 0.8471